1.
DFT (PBE) results for a relaxed structure of Nd4Er2Tm.

Unit cell a=6.245 b=6.648 c=11.569 alpha=90.00 beta=104.62 gamma=90.00
Fractional positions:
Nd (0.646, 0.511, 0.284)
Nd (0.151, 0.750, 0.451)
Nd (0.646, 0.989, 0.284)
Nd (0.849, 0.250, 0.549)
Nd (0.046, 0.750, 0.867)
Nd (0.354, 0.011, 0.716)
Nd (0.954, 0.250, 0.133)
Nd (0.354, 0.489, 0.716)
Tm (0.149, 0.750, 0.164)
Tm (0.851, 0.250, 0.836)
Er (0.288, 0.250, 0.421)
Er (0.389, 0.250, 0.006)
Er (0.712, 0.750, 0.579)
Er (0.611, 0.750, 0.994)

Summary:
**Energy above the lowest structure with this stoichiometry**: 68 meV per atom
**DOS at the Fermi energy**: 1.48 states/eV/atom
**Total energy**: -4.5400 eV per atom
**Density**: 7.72 Mg/m³
**Energy of formation from the pure elements**: 0.13 eV per atom


2.
DFT (PBE) results for a relaxed structure of NdEr8Tm6.

Unit cell a=8.921 b=8.921 c=8.521 alpha=58.43 beta=58.43 gamma=60.00
Fractional positions:
Er (0.890, 0.256, 0.574)
Er (0.720, 0.110, 0.426)
Er (0.576, 0.576, 0.271)
Er (0.424, 0.424, 0.729)
Er (0.280, 0.890, 0.574)
Er (0.256, 0.280, 0.574)
Er (0.744, 0.720, 0.426)
Er (0.110, 0.744, 0.426)
Tm (0.538, 0.109, 0.121)
Tm (0.891, 0.769, 0.879)
Tm (0.109, 0.231, 0.121)
Tm (0.769, 0.462, 0.879)
Tm (0.462, 0.891, 0.879)
Tm (0.231, 0.538, 0.121)
Nd (0.000, 0.000, 0.000)

Summary:
**Energy above the lowest structure with this stoichiometry**: 0 meV per atom
**DOS at the Fermi energy**: 1.51 states/eV/atom
**Total energy**: -4.3998 eV per atom
**Density**: 8.86 Mg/m³
**Energy of formation from the pure elements**: 0.14 eV per atom


3.
DFT (PBE) results for a relaxed structure of Nd8ErTm6.

Unit cell a=6.537 b=9.389 c=9.389 alpha=120.00 beta=90.00 gamma=90.00
Fractional positions:
Nd (0.168, 0.751, 0.039)
Nd (0.832, 0.039, 0.288)
Nd (0.832, 0.712, 0.751)
Nd (0.168, 0.961, 0.712)
Nd (0.121, 0.667, 0.333)
Nd (0.168, 0.288, 0.249)
Nd (0.832, 0.249, 0.961)
Nd (0.879, 0.333, 0.667)
Er (0.500, 0.000, 0.000)
Tm (0.343, 0.562, 0.658)
Tm (0.343, 0.342, 0.904)
Tm (0.343, 0.096, 0.438)
Tm (0.657, 0.658, 0.096)
Tm (0.657, 0.438, 0.342)
Tm (0.657, 0.904, 0.562)

Summary:
**Energy above the lowest structure with this stoichiometry**: 0 meV per atom
**DOS at the Fermi energy**: 1.47 states/eV/atom
**Total energy**: -4.4599 eV per atom
**Density**: 7.77 Mg/m³
**Energy of formation from the pure elements**: 0.18 eV per atom